The following is a SCAN calculation of a PBEsol-optimized structure of Be2CdSe, from the Alexandria database.

Lattice parameters (Å, degrees): 4.512 4.512 4.512 60.00 60.00 60.00
Fractional positions:
Be: 0.000 0.000 0.000
Be: 0.750 0.750 0.750
Se: 0.250 0.250 0.250
Cd: 0.500 0.500 0.500

Properties
Total magnetic moment   0.00 μB/f.u.
Density   5.4 g/cm3
DOS at the Fermi energy   0.497 states/eV per atom
Raw formation energy   887 meV per atom
ΔE to the lowest computed polymorph   1.92 eV/f.u.